DFT (PBE) results for a geometry-optimized TbPm7Sm3 structure.

abc: 7.0764 5.6718 10.1200
angles: 90.00 110.03 90.00
Last column: nearest neighbours and their distance in Å.
Space group P2/m (No. 10)
One atom of each set of equivalent atoms:
Tb  0.0000  0.0000  0.0000 [1 per cell]  2 Sm 3.54, 10 Pm 3.57-3.90
Pm  0.0831  0.0000  0.6711 [2 per cell]  3 Pm 3.25-3.37, 1 Tb 3.57, 5 Sm 3.61-3.62
Pm  0.1791  0.5000  0.8626 [2 per cell]  5 Pm 3.30-3.62, 2 Tb 3.58, 2 Sm 3.60
Pm  0.3545  0.5000  0.2097 [2 per cell]  3 Pm 3.30-3.62, 2 Sm 3.39-3.40
Pm  0.5000  0.0000  0.5000 [1 per cell]  4 Sm 3.46
Sm  0.2202  0.5000  0.5011 [2 per cell]  1 Sm 3.11, 4 Pm 3.39-3.46
Sm  0.5000  0.0000  0.0000 [1 per cell]  2 Tb 3.54, 10 Pm 3.60-3.89

* energy above the lowest structure with this stoichiometry: 0.00 eV/f.u.
* uncorrected energy: -50.73 eV for the cell shown
* mass density: 7.07 g/cm³
* formation energy from the elements: 0.1197 eV per atom